1.
Crystalline In at its relaxed geometry. Source: the Alexandria database, functional PBE.

Cell: 4.767 4.767 4.767 Å, 90.00 90.00 90.00°
Space group Fm-3m (No. 225)
Unique sites:
In: 0.000 0.000 0.000 x4

## Properties
Its formation energy is 0.000 eV/atom. The total energy comes out at -2.738 eV per atom. The calculation puts the density of states at the Fermi level at 1.157 states/eV per cell. The calculation puts the polymorph energy (0 for the lowest one) at 0 meV/atom.

2.
Crystalline Cr2CuSb at its relaxed geometry. Source: the Alexandria database, functional PBE.

Cell: 6.264 6.264 6.264 Å, 90.00 90.00 90.00°
Space group F-43m (No. 216)
Unique sites:
Cr: 0.000 0.000 0.000 x4
Cr: 0.250 0.250 0.250 x4
Cu: 0.250 0.250 0.750 x4
Sb: 0.000 0.000 0.500 x4

## Properties
The total energy comes out at -6.586 eV per atom. For the raw formation energy, the calculation gives 0.2806 eV per atom. The calculation puts the density of states at the Fermi level at 7.445 states/eV per cell.

3.
Crystalline CoPb4 at its relaxed geometry. Source: the Alexandria database, functional PBE.

Cell: 6.889 6.889 5.688 Å, 90.00 90.00 90.00°
Space group I4/m (No. 87)
Unique sites:
Co: 0.000 0.000 0.000 x2
Pb: 0.152 0.686 0.500 x8

## Properties
Its formation energy is 0.374 eV/atom. The total energy comes out at -4.014 eV per atom. The calculation puts the density of states at the Fermi level at 9.653 states/eV per cell.

4.
Crystalline Ta2MoW at its relaxed geometry. Source: the Alexandria database, functional PBE.

Cell: 3.0251 3.0251 26.5270 Å, 90.00 90.00 120.00°
Space group R3m (No. 160, hexagonal axes)
Unique sites:
Ta: 0.0000 0.0000 0.0000 x3
Ta: 0.0000 0.0000 0.2446 x3
Mo: 0.0000 0.0000 0.4943 x3
W: 0.0000 0.0000 0.7516 x3

## Properties
Its formation energy is 0.249 eV/atom. The total energy comes out at -11.623 eV per atom. The calculation puts the density of states at the Fermi level at 6.718 states/eV per cell.

5.
Crystalline Ba2YCr at its relaxed geometry. Source: the Alexandria database, functional PBE.

Cell: 4.026 4.026 9.912 Å, 90.00 90.00 90.00°
Space group P4/mmm (No. 123)
Unique sites:
Ba: 0.000 0.000 0.215 x2
Y: 0.500 0.500 0.500 x1
Cr: 0.500 0.500 0.000 x1

## Properties
Its formation energy is 0.579 eV/atom. The total energy comes out at -4.404 eV per atom. The calculation puts the density of states at the Fermi level at 4.006 states/eV per cell. The calculation puts the polymorph energy (0 for the lowest one) at 187 meV/atom.

6.
Crystalline CrGe2Pb2 at its relaxed geometry. Source: the Alexandria database, functional PBE.

Cell: 6.773 6.773 5.072 Å, 90.00 90.00 90.00°
Space group P4/mbm (No. 127)
Unique sites:
Cr: 0.000 0.000 0.000 x2
Ge: 0.135 0.365 0.000 x4
Pb: 0.181 0.681 0.500 x4

## Properties
Its formation energy is 0.252 eV/atom. The total energy comes out at -5.003 eV per atom. The calculation puts the density of states at the Fermi level at 4.902 states/eV per cell.

7.
Crystalline ThTcB at its relaxed geometry. Source: the Alexandria database, functional PBE.

Cell: 3.8061 3.8061 4.2673 Å, 90.00 90.00 120.00°
Space group P-6m2 (No. 187)
Unique sites:
Th: 0.0000 0.0000 0.0000 x1
Tc: 0.3333 0.6667 0.5000 x1
B: 0.6667 0.3333 0.5000 x1

## Properties
Its formation energy is -0.236 eV/atom. The total energy comes out at -8.390 eV per atom. The calculation puts the density of states at the Fermi level at 1.711 states/eV per cell. The calculation puts the polymorph energy (0 for the lowest one) at 0 meV/atom.

8.
Crystalline SbTe2H at its relaxed geometry. Source: the Alexandria database, functional PBE.

Cell: 6.418 6.418 10.755 Å, 90.00 90.00 90.00°
Space group I-42d (No. 122)
Unique sites:
Sb: 0.000 0.000 0.000 x4
Te: 0.163 0.250 0.625 x8
H: 0.000 0.000 0.500 x4

## Properties
The total energy comes out at -3.005 eV per atom. The calculation puts the density of states at the Fermi level at 7.343 states/eV per cell. The calculation puts the polymorph energy (0 for the lowest one) at 388 meV/atom.

9.
Crystalline La4MgGe2 at its relaxed geometry. Source: the Alexandria database, functional PBE.

Cell: 7.742 7.746 8.550 Å, 109.65 109.67 102.75°
Space group P1 (No. 1)
Unique sites:
La: 0.000 0.000 0.000 x1
La: 0.009 0.453 0.268 x1
La: 0.325 0.606 0.774 x1
La: 0.337 0.852 0.233 x1
La: 0.371 0.090 0.767 x1
La: 0.525 0.406 0.274 x1
La: 0.771 0.419 0.733 x1
La: 0.918 0.082 0.500 x1
Mg: 0.612 0.812 0.612 x1
Mg: 0.731 0.694 0.113 x1
Ge: 0.158 0.368 0.947 x1
Ge: 0.287 0.239 0.447 x1
Ge: 0.645 0.044 0.110 x1
Ge: 0.963 0.726 0.610 x1

## Properties
Its formation energy is -0.502 eV/atom. The total energy comes out at -4.865 eV per atom. The calculation puts the density of states at the Fermi level at 12.969 states/eV per cell.

10.
Crystalline Cs2PuBeSe4 at its relaxed geometry. Source: the Alexandria database, functional PBE.

Cell: 6.288 14.925 26.601 Å, 90.00 90.00 90.00°
Space group Fddd (No. 70, origin choice 2)
Unique sites:
Cs: 0.125 0.125 0.303 x16
Pu: 0.125 0.125 0.125 x8
Be: 0.125 0.125 0.625 x8
Se: 0.079 0.282 0.825 x32

## Properties
The total energy comes out at -5.219 eV per atom. For the raw formation energy, the calculation gives -1.0059 eV per atom. The calculation puts the density of states at the Fermi level at 64.189 states/eV per cell.

11.
Crystalline Tl3BPt at its relaxed geometry. Source: the Alexandria database, functional PBE.

Cell: 4.847 4.847 4.847 Å, 90.00 90.00 90.00°
Space group Pm-3m (No. 221)
Unique sites:
Tl: 0.000 0.000 0.500 x3
B: 0.000 0.000 0.000 x1
Pt: 0.500 0.500 0.500 x1

## Properties
Its formation energy is 0.765 eV/atom. The total energy comes out at -3.198 eV per atom. The calculation puts the density of states at the Fermi level at 2.788 states/eV per cell. The calculation puts the polymorph energy (0 for the lowest one) at 0 meV/atom.

12.
Crystalline NaMn2Zn2 at its relaxed geometry. Source: the Alexandria database, functional PBE.

Cell: 4.544 4.544 8.369 Å, 90.00 90.00 90.00°
Space group I4/mmm (No. 139)
Unique sites:
Na: 0.000 0.000 0.000 x2
Mn: 0.000 0.000 0.384 x4
Zn: 0.000 0.500 0.250 x4

## Properties
Its formation energy is 0.607 eV/atom. The total energy comes out at -3.834 eV per atom. The calculation puts the density of states at the Fermi level at 8.216 states/eV per cell. The calculation puts the polymorph energy (0 for the lowest one) at 392 meV/atom.